Here is a relaxed Y2NpTl2S6 crystal from the Alexandria database. Energies are from PBE-GGA.

Cell: 6.9444 6.9444 7.9249 Å, 98.55 98.55 119.98°
With the nearest neighbours (Å) after each atom.
Atoms (fractional coordinates):
Y1 0.1666 0.8334 0.0000  6 S 2.75-2.77
Y2 0.8334 0.1666 0.0000  6 S 2.75-2.77
Np1 0.5000 0.5000 0.0000  6 S 2.69-2.71
Tl1 0.3312 0.6688 0.5000  6 S 3.26-3.28
Tl2 0.6688 0.3312 0.5000  6 S 3.26-3.28
S1 0.1076 0.4366 0.8062  1 Np 2.71, 2 Y 2.75-2.77
S2 0.2412 0.2412 0.1946  1 Np 2.69, 2 Y 2.77
S3 0.4366 0.1076 0.8062  1 Np 2.71, 2 Y 2.75-2.77
S4 0.5634 0.8924 0.1938  1 Np 2.71, 2 Y 2.75-2.77
S5 0.7588 0.7588 0.8054  1 Np 2.69, 2 Y 2.77
S6 0.8924 0.5634 0.1938  1 Np 2.71, 2 Y 2.75-2.77

Calculated values
theoretical density	5.34	g/cm3
symmetry	C2/m (12)
raw formation energy	-32.98	kcal/mol of atoms
N(E_F)	6.25	states/eV per cell



Here is a relaxed Ho5Tl2HgRh2 crystal from the Alexandria database. Energies are from PBE-GGA.

Cell: 11.7738 11.7738 3.6554 Å, 90.00 90.00 90.00°
With the nearest neighbours (Å) after each atom.
Atoms (fractional coordinates):
Ho1 0.0000 0.5000 0.0000  4 Rh 2.86
Ho2 0.0797 0.2026 0.0000  2 Rh 2.74
Ho3 0.2026 0.9203 0.0000  2 Rh 2.74
Ho4 0.2974 0.4203 0.0000  2 Rh 2.74
Ho5 0.4203 0.7026 0.0000  2 Rh 2.74
Ho6 0.5000 0.0000 0.0000  4 Rh 2.86
Ho7 0.5797 0.2974 0.0000  2 Rh 2.74
Ho8 0.7026 0.5797 0.0000  2 Rh 2.74
Ho9 0.7974 0.0797 0.0000  2 Rh 2.74
Ho10 0.9203 0.7974 0.0000  2 Rh 2.74
Tl1 0.1719 0.6719 0.5000  3 Rh 3.26-3.61, 6 Ho 3.40-3.47, 2 Tl 3.66
Tl2 0.3281 0.1719 0.5000  3 Rh 3.26-3.61, 6 Ho 3.40-3.47, 2 Tl 3.66
Tl3 0.6719 0.8281 0.5000  3 Rh 3.26-3.61, 6 Ho 3.40-3.47, 2 Tl 3.66
Tl4 0.8281 0.3281 0.5000  3 Rh 3.26-3.61, 6 Ho 3.40-3.47, 2 Tl 3.66
Hg1 0.0000 0.0000 0.5000  8 Ho 3.15
Hg2 0.5000 0.5000 0.5000  8 Ho 3.15
Rh1 0.1320 0.3680 0.5000  6 Ho 2.74-2.86
Rh2 0.3680 0.8680 0.5000  6 Ho 2.74-2.86
Rh3 0.6320 0.1320 0.5000  6 Ho 2.74-2.86
Rh4 0.8680 0.6320 0.5000  6 Ho 2.74-2.86

Calculated values
theoretical density	10.75	g/cm3
calculated formation energy	-545.3	meV/atom
symmetry	P4/mbm (127)
N(E_F)	14.09	states/eV per cell



> Look up the theoretical density of the second one.

10.75 g/cm3



> The lowest N(E_F) belongs to which entry?

Y2NpTl2S6